1.
VASP calculation (PBE) on Tl2HgAu after structural relaxation.

Structure (CIF):
```
data_Tl2HgAu
_symmetry_space_group_name_H-M 'P 1'
_symmetry_Int_Tables_number 1
_cell_length_a 5.164
_cell_length_b 5.164
_cell_length_c 4.034
_cell_angle_alpha 90.83
_cell_angle_beta 90.83
_cell_angle_gamma 96.89
loop_
_symmetry_equiv_pos_as_xyz
'x,y,z'
loop_
_atom_site_label
_atom_site_type_symbol
_atom_site_fract_x
_atom_site_fract_y
_atom_site_fract_z
Tl1 Tl 0.000 0.500 0.000
Tl2 Tl 0.500 0.000 0.000
Hg1 Hg 0.000 0.000 0.500
Au1 Au 0.500 0.500 0.500
```

Summary:
E above lowest polymorph ... 0.0454 eV per atom
ΔE_f ... 0.084 eV per formula unit



2.
VASP calculation (PBE) on KLiAgP after structural relaxation.

Structure (CIF):
```
data_KLiAgP
_symmetry_space_group_name_H-M 'P 1'
_symmetry_Int_Tables_number 1
_cell_length_a 6.435
_cell_length_b 6.435
_cell_length_c 6.435
_cell_angle_alpha 40.43
_cell_angle_beta 40.43
_cell_angle_gamma 40.43
loop_
_symmetry_equiv_pos_as_xyz
'x,y,z'
loop_
_atom_site_label
_atom_site_type_symbol
_atom_site_fract_x
_atom_site_fract_y
_atom_site_fract_z
K1 K 0.000 0.000 0.000
Li1 Li 0.491 0.491 0.491
Ag1 Ag 0.179 0.179 0.179
P1 P 0.817 0.817 0.817
```

Summary:
ΔE_f ... -1.358 eV per formula unit



3.
VASP calculation (PBE) on LaYHoCd after structural relaxation.

Structure (CIF):
```
data_LaYHoCd
_symmetry_space_group_name_H-M 'P 1'
_symmetry_Int_Tables_number 1
_cell_length_a 5.551
_cell_length_b 5.551
_cell_length_c 5.551
_cell_angle_alpha 60.00
_cell_angle_beta 60.00
_cell_angle_gamma 60.00
loop_
_symmetry_equiv_pos_as_xyz
'x,y,z'
loop_
_atom_site_label
_atom_site_type_symbol
_atom_site_fract_x
_atom_site_fract_y
_atom_site_fract_z
La1 La 0.000 0.000 0.000
Y1 Y 0.500 0.500 0.500
Ho1 Ho 0.250 0.250 0.250
Cd1 Cd 0.750 0.750 0.750
```

Summary:
E above lowest polymorph ... 0.1016 eV per atom
ΔE_f ... -0.173 eV per formula unit



4.
VASP calculation (PBE) on MgGaSn3 after structural relaxation.

Structure (CIF):
```
data_MgGaSn3
_symmetry_space_group_name_H-M 'P 1'
_symmetry_Int_Tables_number 1
_cell_length_a 8.163
_cell_length_b 11.741
_cell_length_c 5.461
_cell_angle_alpha 90.00
_cell_angle_beta 90.00
_cell_angle_gamma 90.00
loop_
_symmetry_equiv_pos_as_xyz
'x,y,z'
loop_
_atom_site_label
_atom_site_type_symbol
_atom_site_fract_x
_atom_site_fract_y
_atom_site_fract_z
Mg1 Mg 0.000 0.000 0.000
Mg2 Mg 0.000 0.500 0.000
Mg3 Mg 0.500 0.000 0.500
Mg4 Mg 0.500 0.500 0.500
Ga1 Ga 0.082 0.250 0.341
Ga2 Ga 0.418 0.750 0.841
Ga3 Ga 0.582 0.250 0.159
Ga4 Ga 0.918 0.750 0.659
Sn1 Sn 0.118 0.750 0.085
Sn2 Sn 0.152 0.575 0.504
Sn3 Sn 0.152 0.925 0.504
Sn4 Sn 0.348 0.075 0.004
Sn5 Sn 0.348 0.425 0.004
Sn6 Sn 0.382 0.250 0.585
Sn7 Sn 0.618 0.750 0.415
Sn8 Sn 0.652 0.575 0.996
Sn9 Sn 0.652 0.925 0.996
Sn10 Sn 0.848 0.075 0.496
Sn11 Sn 0.848 0.425 0.496
Sn12 Sn 0.882 0.250 0.915
```

Summary:
E above lowest polymorph ... 0.0000 eV per atom
ΔE_f ... 0.111 eV per formula unit